(1)
PBE Y3MnP, optimized geometry; magnetization = 0.11 μB per atom; SG = No. 221; distance to the lowest polymorph of the same formula = 0 meV per atom; formation energy = 0.166 eV per atom
1.0
5.0352 0.0000 0.0000
0.0000 5.0352 0.0000
0.0000 0.0000 5.0352
Y Mn P
3 1 1
direct
0.0000 0.5000 0.0000
0.0000 0.0000 0.5000
0.5000 0.0000 0.0000
0.0000 0.0000 0.0000
0.5000 0.5000 0.5000


(2)
PBE InPtAu2, optimized geometry; magnetization = 0.00 μB per atom; SG = No. 139; formation energy = -0.166 eV per atom
1.0
-3.6176 2.5395 -2.9622
-2.6345 -3.0349 -3.4871
1.1426 -0.2881 5.1887
In Au Pt
1 2 1
direct
0.7500 0.2500 0.5000
0.4996 0.4996 0.0000
0.0004 0.0004 0.0000
0.2500 0.7500 0.5000


(3)
PBE AlFe2Si, optimized geometry; magnetization = 0.77 μB per atom; SG = No. 10; formation energy from raw total energies = -0.17 eV/atom
1.0
-0.0414 -2.6825 -0.2301
4.5785 -0.0356 -0.4099
3.3774 -0.3604 3.5939
Si Fe Al
1 2 1
direct
0.5000 0.5000 0.5000
0.0000 0.0000 0.0000
0.5000 0.5000 0.0000
0.0000 0.0000 0.5000


(4)
PBE TiFeHIr2, optimized geometry; magnetization = 0.37 μB per atom; SG = No. 123; distance to the lowest polymorph of the same formula = 40 meV per atom
1.0
-1.0183 3.4132 1.5551
-2.5871 -1.8059 2.2695
2.7066 -0.4390 2.7360
Ir H Fe Ti
2 1 1 1
direct
0.0000 0.5000 0.0000
0.5000 0.0000 0.0000
0.0000 0.0000 0.0000
0.5000 0.5000 0.5000
0.0000 0.0000 0.5000


(5)
PBE CrTc2Ir, optimized geometry; magnetization = 0.00 μB per atom; SG = No. 166; distance to the lowest polymorph of the same formula = 125 meV per atom; formation energy = 0.075 eV per atom
1.0
-1.2457 -8.3560 2.8061
0.0170 -7.3686 4.9952
-2.6648 -7.0606 4.7218
Tc Ir Cr
2 1 1
direct
0.9967 0.9967 0.9967
0.5033 0.5033 0.5033
0.7500 0.7500 0.7500
0.2500 0.2500 0.2500


(6)
PBE Cd2HPtRh, optimized geometry; magnetization = 0.00 μB per atom; SG = No. 123; distance to the lowest polymorph of the same formula = 0 meV per atom
1.0
-2.8927 2.2793 2.7311
-1.1518 -3.9306 2.0604
2.5313 0.4617 2.2958
Cd H Pt Rh
2 1 1 1
direct
0.0000 0.5000 0.0000
0.5000 0.0000 0.0000
0.0000 0.0000 0.0000
0.5000 0.5000 0.5000
0.0000 0.0000 0.5000


(7)
PBE DyTh3N, optimized geometry; magnetization = 0.00 μB per atom; SG = No. 221; formation energy from raw total energies = -0.61 eV/atom
1.0
5.0815 0.0000 0.0000
0.0000 5.0815 0.0000
0.0000 0.0000 5.0815
Th Dy N
3 1 1
direct
0.5000 0.0000 0.0000
0.0000 0.0000 0.5000
0.0000 0.5000 0.0000
0.5000 0.5000 0.5000
0.0000 0.0000 0.0000


(8)
PBE AlSb, optimized geometry; magnetization = 0.00 μB per atom; SG = No. 217; formation energy from raw total energies = 0.05 eV/atom
1.0
-1.1699 5.3946 6.4865
-2.1560 -6.5223 5.0355
8.1565 -0.9503 2.2614
Sb Al
8 8
direct
0.1676 0.1676 0.8324
0.3324 0.6676 0.6676
0.6676 0.3324 0.6676
0.6676 0.6676 0.3324
0.3324 0.3324 0.3324
0.8324 0.1676 0.1676
0.8324 0.8324 0.8324
0.1676 0.8324 0.1676
0.8482 0.8482 0.1518
0.1518 0.1518 0.1518
0.6518 0.6518 0.6518
0.6518 0.3482 0.3482
0.8482 0.1518 0.8482
0.1518 0.8482 0.8482
0.3482 0.3482 0.6518
0.3482 0.6518 0.3482